This record from Alexandria via LeMat-Bulk describes a relaxed ZnRe2Mo crystal. The functional is GGA-PBE.

- Calculated volume: 15.1 Å³ per atom
- ΔH_f (0 K): 0.222 eV per atom

Geometry as POSCAR:
```
ZnRe2Mo
1.0
4.6193 -1.4159 0.0000
4.6193 1.4159 0.0000
-1.0325 0.0000 4.6039
Zn Re Mo
1 2 1
Cartesian
0.0000 0.0000 0.0000
1.5081 0.0000 3.4342
6.6981 0.0000 1.1697
4.1031 0.0000 2.3020
```


This record from Alexandria via LeMat-Bulk describes a relaxed Zn2ReMo crystal. The functional is GGA-PBE.

- Calculated volume: 14.9 Å³ per atom
- ΔH_f (0 K): 0.117 eV per atom

Geometry as POSCAR:
```
Zn2ReMo
1.0
2.6923 0.0000 0.0000
0.0000 4.3623 0.0000
-0.7058 0.0000 5.0672
Zn Re Mo
2 1 1
Cartesian
0.0000 0.0000 0.0000
-0.4458 2.1812 3.8672
0.7624 0.0000 2.5473
1.4365 2.1812 1.3385
```


This record from Alexandria via LeMat-Bulk describes a relaxed Zn2ReMo crystal. The functional is GGA-PBE.

- Calculated volume: 14.9 Å³ per atom
- ΔH_f (0 K): 0.225 eV per atom

Geometry as POSCAR:
```
Zn2ReMo
1.0
1.5966 -2.1143 0.0000
1.5966 2.1143 0.0000
0.0000 0.0000 8.8036
Zn Re Mo
2 1 1
Cartesian
0.0000 0.0000 2.1893
0.0000 0.0000 6.6143
1.5966 0.0000 0.0000
1.5966 0.0000 4.4018
```


This record from Alexandria via LeMat-Bulk describes a relaxed ZnRe2Mo crystal. The functional is GGA-PBE.

- Calculated volume: 15.0 Å³ per atom
- ΔH_f (0 K): 0.252 eV per atom

Geometry as POSCAR:
```
ZnRe2Mo
1.0
-1.9352 1.9352 3.9976
1.9352 -1.9352 3.9976
1.9352 1.9352 -3.9976
Zn Re Mo
1 2 1
Cartesian
0.0000 0.0000 0.0000
1.9352 0.0000 1.9988
0.0000 1.9352 1.9988
0.0000 0.0000 3.9976
```